Record 1
Below is a geometry-optimized YScSCl2 structure, with properties calculated at the PBE-GGA level.

- Volume: 23.80 A^3/atom
- Energy: -5.36 eV/atom
- Formation energy without anion corrections: -28.54 kcal/mol of atoms
- Space-group type: No. 123
- Fermi-level density of states: 4.8 states/eV/cell
- Energy above the most stable polymorph in this dataset: 0.0 kJ per mole of atoms

Cell: 4.8493 4.8493 5.0608 Å, 90.00 90.00 90.00°
Closest atoms and distances in Å follow each position.
Atoms (fractional coordinates):
Y  0.0000  0.0000  0.0000  4 S 3.43, 8 Cl 3.50
Sc  0.5000  0.5000  0.5000  4 Cl 2.42, 2 S 2.53
S  0.5000  0.5000  0.0000  2 Sc 2.53
Cl  0.0000  0.5000  0.5000  2 Sc 2.42
Cl  0.5000  0.0000  0.5000  2 Sc 2.42

Record 2
Below is a geometry-optimized ScZnS2Cl structure, with properties calculated at the PBE-GGA level.

- Volume: 20.62 A^3/atom
- Energy: -4.02 eV/atom
- Formation energy without anion corrections: -11.02 kcal/mol of atoms
- Space-group type: No. 123
- Fermi-level density of states: 1.7 states/eV/cell
- Energy above the most stable polymorph in this dataset: 19.0 kJ per mole of atoms

Cell: 4.7481 4.7481 4.5738 Å, 90.00 90.00 90.00°
Closest atoms and distances in Å follow each position.
Atoms (fractional coordinates):
Sc  0.0000  0.0000  0.0000  8 S 3.30, 4 Cl 3.36
Zn  0.5000  0.5000  0.5000  2 Cl 2.29, 4 S 2.37
S  0.0000  0.5000  0.5000  2 Zn 2.37
S  0.5000  0.0000  0.5000  2 Zn 2.37
Cl  0.5000  0.5000  0.0000  2 Zn 2.29

Record 3
Below is a geometry-optimized ScZnS2Cl structure, with properties calculated at the PBE-GGA level.

- Volume: 24.17 A^3/atom
- Energy: -4.22 eV/atom
- Formation energy without anion corrections: -15.56 kcal/mol of atoms
- Space-group type: No. 123
- Fermi-level density of states: 1.9 states/eV/cell
- Energy above the most stable polymorph in this dataset: 0.0 kJ per mole of atoms

Cell: 4.9904 4.9904 4.8534 Å, 90.00 90.00 90.00°
Closest atoms and distances in Å follow each position.
Atoms (fractional coordinates):
Sc  0.0000  0.0000  0.0000  2 Cl 2.43, 4 S 2.50
Zn  0.5000  0.5000  0.5000  8 S 3.48, 4 Cl 3.53
S  0.0000  0.5000  0.0000  2 Sc 2.50
S  0.5000  0.0000  0.0000  2 Sc 2.50
Cl  0.0000  0.0000  0.5000  2 Sc 2.43

Record 4
Below is a geometry-optimized ZrScS2Cl structure, with properties calculated at the PBE-GGA level.

- Volume: 22.91 A^3/atom
- Energy: -5.78 eV/atom
- Formation energy without anion corrections: -18.05 kcal/mol of atoms
- Space-group type: No. 123
- Fermi-level density of states: 4.7 states/eV/cell
- Energy above the most stable polymorph in this dataset: 8.7 kJ per mole of atoms

Cell: 4.9299 4.9299 4.7140 Å, 90.00 90.00 90.00°
Closest atoms and distances in Å follow each position.
Atoms (fractional coordinates):
Zr  0.0000  0.0000  0.0000  8 S 3.41, 4 Cl 3.49
Sc  0.5000  0.5000  0.5000  2 Cl 2.36, 4 S 2.46
S  0.0000  0.5000  0.5000  2 Sc 2.46
S  0.5000  0.0000  0.5000  2 Sc 2.46
Cl  0.5000  0.5000  0.0000  2 Sc 2.36

Record 5
Below is a geometry-optimized ZrScSCl2 structure, with properties calculated at the PBE-GGA level.

- Volume: 24.97 A^3/atom
- Energy: -5.32 eV/atom
- Formation energy without anion corrections: -18.05 kcal/mol of atoms
- Space-group type: No. 123
- Fermi-level density of states: 5.2 states/eV/cell
- Energy above the most stable polymorph in this dataset: 0.0 kJ per mole of atoms

Cell: 4.9631 4.9631 5.0693 Å, 90.00 90.00 90.00°
Closest atoms and distances in Å follow each position.
Atoms (fractional coordinates):
Zr  0.0000  0.0000  0.0000  4 Cl 2.48, 2 S 2.53
Sc  0.5000  0.5000  0.5000  4 S 3.51, 8 Cl 3.55
S  0.0000  0.0000  0.5000  2 Zr 2.53
Cl  0.0000  0.5000  0.0000  2 Zr 2.48
Cl  0.5000  0.0000  0.0000  2 Zr 2.48

Record 6
Below is a geometry-optimized ZrScS2Cl structure, with properties calculated at the PBE-GGA level.

- Volume: 24.45 A^3/atom
- Energy: -5.87 eV/atom
- Formation energy without anion corrections: -20.14 kcal/mol of atoms
- Space-group type: No. 123
- Fermi-level density of states: 7.0 states/eV/cell
- Energy above the most stable polymorph in this dataset: 0.0 kJ per mole of atoms

Cell: 4.9952 4.9952 4.8991 Å, 90.00 90.00 90.00°
Closest atoms and distances in Å follow each position.
Atoms (fractional coordinates):
Zr  0.0000  0.0000  0.0000  2 Cl 2.45, 4 S 2.50
Sc  0.5000  0.5000  0.5000  8 S 3.50, 4 Cl 3.53
S  0.0000  0.5000  0.0000  2 Zr 2.50
S  0.5000  0.0000  0.0000  2 Zr 2.50
Cl  0.0000  0.0000  0.5000  2 Zr 2.45

Record 7
Below is a geometry-optimized ZrScSCl2 structure, with properties calculated at the PBE-GGA level.

- Volume: 23.72 A^3/atom
- Energy: -5.29 eV/atom
- Formation energy without anion corrections: -17.33 kcal/mol of atoms
- Space-group type: No. 123
- Fermi-level density of states: 5.0 states/eV/cell
- Energy above the most stable polymorph in this dataset: 3.0 kJ per mole of atoms

Cell: 4.8473 4.8473 5.0483 Å, 90.00 90.00 90.00°
Closest atoms and distances in Å follow each position.
Atoms (fractional coordinates):
Zr  0.0000  0.0000  0.0000  4 S 3.43, 8 Cl 3.50
Sc  0.5000  0.5000  0.5000  4 Cl 2.42, 2 S 2.52
S  0.5000  0.5000  0.0000  2 Sc 2.52
Cl  0.0000  0.5000  0.5000  2 Sc 2.42
Cl  0.5000  0.0000  0.5000  2 Sc 2.42

Record 8
Below is a geometry-optimized SeSCl2 structure, with properties calculated at the PBE-GGA level.

- Volume: 19.62 A^3/atom
- Energy: -1.84 eV/atom
- Formation energy without anion corrections: 22.71 kcal/mol of atoms
- Space-group type: No. 225
- Fermi-level density of states: 22.0 states/eV/cell
- Energy above the most stable polymorph in this dataset: 101.2 kJ per mole of atoms

Cell: 6.7966 6.7966 6.7966 Å, 90.00 90.00 90.00°
Closest atoms and distances in Å follow each position.
Atoms (fractional coordinates):
Se  0.0000  0.0000  0.0000  8 Cl 2.94
Se  0.0000  0.5000  0.5000  8 Cl 2.94
Se  0.5000  0.0000  0.5000  8 Cl 2.94
Se  0.5000  0.5000  0.0000  8 Cl 2.94
S  0.0000  0.0000  0.5000  8 Cl 2.94
S  0.0000  0.5000  0.0000  8 Cl 2.94
S  0.5000  0.0000  0.0000  8 Cl 2.94
S  0.5000  0.5000  0.5000  8 Cl 2.94
Cl  0.2500  0.2500  0.2500  4 S 2.94, 4 Se 2.94
Cl  0.2500  0.2500  0.7500  4 Se 2.94, 4 S 2.94
Cl  0.2500  0.7500  0.2500  4 Se 2.94, 4 S 2.94
Cl  0.2500  0.7500  0.7500  4 S 2.94, 4 Se 2.94
Cl  0.7500  0.2500  0.2500  4 Se 2.94, 4 S 2.94
Cl  0.7500  0.2500  0.7500  4 S 2.94, 4 Se 2.94
Cl  0.7500  0.7500  0.2500  4 S 2.94, 4 Se 2.94
Cl  0.7500  0.7500  0.7500  4 Se 2.94, 4 S 2.94

Record 9
Below is a geometry-optimized SeSCl structure, with properties calculated at the PBE-GGA level.

- Volume: 31.39 A^3/atom
- Energy: -3.16 eV/atom
- Formation energy without anion corrections: -0.15 kcal/mol of atoms
- Space-group type: No. 2
- Fermi-level density of states: 1.7 states/eV/cell
- Energy above the most stable polymorph in this dataset: 8.4 kJ per mole of atoms

Cell: 3.6029 9.3264 11.3812 Å, 83.78 82.39 87.37°
Closest atoms and distances in Å follow each position.
Atoms (fractional coordinates):
Se  0.0413  0.2368  0.3359  1 Cl 2.21, 1 Se 2.47
Se  0.4582  0.1942  0.4924  2 Se 2.47-2.58, 2 Cl 2.54-2.71
Se  0.5418  0.8058  0.5076  2 Se 2.47-2.58, 2 Cl 2.54-2.71
Se  0.9587  0.7632  0.6641  1 Cl 2.21, 1 Se 2.47
S  0.2931  0.7362  0.9751  1 S 1.97
S  0.3010  0.1622  0.9722  1 S 1.97
S  0.6990  0.8378  0.0278  1 S 1.97
S  0.7069  0.2638  0.0249  1 S 1.97
Cl  0.0225  0.4742  0.2939  1 Se 2.21
Cl  0.0676  0.8710  0.3417  2 Se 2.54-2.71
Cl  0.9324  0.1290  0.6583  2 Se 2.54-2.71
Cl  0.9775  0.5258  0.7061  1 Se 2.21

Record 10
Below is a geometry-optimized Se2SCl structure, with properties calculated at the PBE-GGA level.

- Volume: 24.22 A^3/atom
- Energy: -2.82 eV/atom
- Formation energy without anion corrections: 9.61 kcal/mol of atoms
- Space-group type: No. 122
- Fermi-level density of states: 16.1 states/eV/cell
- Energy above the most stable polymorph in this dataset: 11.2 kJ per mole of atoms

Cell: 7.1135 7.1135 7.6598 Å, 90.00 90.00 90.00°
Closest atoms and distances in Å follow each position.
Atoms (fractional coordinates):
Se  0.1959  0.7500  0.1250  2 S 2.45
Se  0.2500  0.1959  0.8750  2 S 2.45
Se  0.2500  0.3041  0.3750  2 S 2.45
Se  0.3041  0.7500  0.6250  2 S 2.45
Se  0.6959  0.2500  0.6250  2 S 2.45
Se  0.7500  0.6959  0.3750  2 S 2.45
Se  0.7500  0.8041  0.8750  2 S 2.45
Se  0.8041  0.2500  0.1250  2 S 2.45
S  0.0000  0.0000  0.0000  4 Se 2.45
S  0.0000  0.5000  0.2500  4 Se 2.45
S  0.5000  0.0000  0.7500  4 Se 2.45
S  0.5000  0.5000  0.5000  4 Se 2.45
Cl  0.0000  0.0000  0.5000  4 Se 2.96
Cl  0.0000  0.5000  0.7500  4 Se 2.96
Cl  0.5000  0.0000  0.2500  4 Se 2.96
Cl  0.5000  0.5000  0.0000  4 Se 2.96

Record 11
Below is a geometry-optimized SeSCl structure, with properties calculated at the PBE-GGA level.

- Volume: 39.54 A^3/atom
- Energy: -3.25 eV/atom
- Formation energy without anion corrections: -2.16 kcal/mol of atoms
- Space-group type: No. 2
- Energy above the most stable polymorph in this dataset: 0.0 kJ per mole of atoms

Cell: 5.3744 5.6564 9.3506 Å, 90.96 106.40 117.90°
Closest atoms and distances in Å follow each position.
Atoms (fractional coordinates):
Se  0.1542  0.3911  0.2714  1 S 2.12, 1 Cl 2.27
Se  0.8458  0.6089  0.7286  1 S 2.12, 1 Cl 2.27
S  0.0277  0.6932  0.9679  1 Se 2.12, 1 S 2.18
S  0.9723  0.3068  0.0321  1 Se 2.12, 1 S 2.18
Cl  0.3500  0.4539  0.6750  1 Se 2.27
Cl  0.6500  0.5461  0.3250  1 Se 2.27

Record 12
Below is a geometry-optimized Se3SCl structure, with properties calculated at the PBE-GGA level.

- Volume: 26.38 A^3/atom
- Energy: -3.05 eV/atom
- Formation energy without anion corrections: 5.53 kcal/mol of atoms
- Space-group type: No. 160
- Fermi-level density of states: 9.0 states/eV/cell
- Energy above the most stable polymorph in this dataset: 0.0 kJ per mole of atoms

Cell: 7.9941 7.9941 7.1499 Å, 90.00 90.00 120.00°
Closest atoms and distances in Å follow each position.
Atoms (fractional coordinates):
Se  0.0236  0.5118  0.0000  1 S 2.28
Se  0.1549  0.3097  0.3333  1 S 2.28
Se  0.1549  0.8451  0.3333  1 S 2.28
Se  0.3569  0.1785  0.6667  1 S 2.28
Se  0.4882  0.5118  0.0000  1 S 2.28
Se  0.4882  0.9764  0.0000  1 S 2.28
Se  0.6903  0.8451  0.3333  1 S 2.28
Se  0.8215  0.1785  0.6667  1 S 2.28
Se  0.8215  0.6431  0.6667  1 S 2.28
S  0.0000  0.0000  0.2263  3 Se 2.28
S  0.3333  0.6667  0.8929  3 Se 2.28
S  0.6667  0.3333  0.5596  3 Se 2.28
Cl  0.0000  0.0000  0.7962  3 Se 2.64
Cl  0.3333  0.6667  0.4628  3 Se 2.64
Cl  0.6667  0.3333  0.1295  3 Se 2.64

- Which value of energy does entry 8 give?
  -1.84 eV/atom

- formation energy without anion corrections of number 7 (ZrScSCl2)?
  -17.33 kcal/mol of atoms

Copy entry 7 word for word.
Below is a geometry-optimized ZrScSCl2 structure, with properties calculated at the PBE-GGA level.

- Volume: 23.72 A^3/atom
- Energy: -5.29 eV/atom
- Formation energy without anion corrections: -17.33 kcal/mol of atoms
- Space-group type: No. 123
- Fermi-level density of states: 5.0 states/eV/cell
- Energy above the most stable polymorph in this dataset: 3.0 kJ per mole of atoms

Cell: 4.8473 4.8473 5.0483 Å, 90.00 90.00 90.00°
Closest atoms and distances in Å follow each position.
Atoms (fractional coordinates):
Zr  0.0000  0.0000  0.0000  4 S 3.43, 8 Cl 3.50
Sc  0.5000  0.5000  0.5000  4 Cl 2.42, 2 S 2.52
S  0.5000  0.5000  0.0000  2 Sc 2.52
Cl  0.0000  0.5000  0.5000  2 Sc 2.42
Cl  0.5000  0.0000  0.5000  2 Sc 2.42

- What is the formula in the seventh record?
  ZrScSCl2